DFT (PBE) results for crystalline PmDyGa at its relaxed geometry.

Structure (POSCAR):
```
PmDyGa
1.0
3.716 0.001 0.000
-0.001 5.254 0.263
-1.855 -0.421 8.282
Pm Dy Ga
2 2 2
Cartesian
2.440 2.600 3.406 Pm
-1.272 -0.166 5.792 Pm
2.442 0.092 0.849 Dy
-1.273 2.341 8.349 Dy
0.585 2.456 5.985 Ga
0.584 -0.020 3.212 Ga
```

Its magnetization is 0.00 μB/atom. The calculation puts the theoretical density at 7.73 g/cm³. As for the raw total energy: -4.51 eV per atom. Its formation energy is -385 meV per atom. For the polymorph energy (0 for the lowest one), the calculation gives 28 meV per atom.


DFT (PBE) results for crystalline Pm2DyGa6 at its relaxed geometry.

Structure (POSCAR):
```
Pm2DyGa6
1.0
-1.888 -0.857 3.671
-0.081 -7.147 -1.710
5.731 2.849 3.612
Pm Dy Ga
2 1 6
Cartesian
3.794 -0.483 1.838 Pm
-0.031 -4.672 3.735 Pm
5.731 2.849 3.612 Dy
0.933 -1.856 2.468 Ga
2.829 -3.298 3.106 Ga
2.883 1.474 4.247 Ga
4.733 -2.352 4.306 Ga
-0.971 -2.803 1.268 Ga
0.960 0.518 3.036 Ga
```

Its magnetization is 0.00 μB/atom. The calculation puts the theoretical density at 7.33 g/cm³. As for the raw total energy: -4.25 eV per atom. Its formation energy is -667 meV per atom. For the polymorph energy (0 for the lowest one), the calculation gives 0 meV per atom.


DFT (PBE) results for crystalline PmDy3Ga8 at its relaxed geometry.

Structure (POSCAR):
```
PmDy3Ga8
1.0
-3.239 4.425 -0.528
-2.880 0.769 -4.633
-9.015 -2.950 1.839
Pm Dy Ga
1 3 8
Cartesian
-8.729 3.443 -3.829 Pm
-10.165 -0.622 -0.335 Dy
-6.128 5.188 -5.156 Dy
-7.586 1.110 -1.651 Dy
-5.970 3.945 -2.185 Ga
-10.330 0.616 -3.303 Ga
-4.349 1.730 -1.921 Ga
-11.953 2.832 -3.567 Ga
-5.097 -0.321 -0.160 Ga
-12.654 0.809 -1.827 Ga
-5.791 2.115 -4.240 Ga
-10.510 2.447 -1.247 Ga
```

Its magnetization is 0.00 μB/atom. The calculation puts the theoretical density at 8.24 g/cm³. As for the raw total energy: -4.12 eV per atom. Its formation energy is -560 meV per atom.


DFT (PBE) results for crystalline PmDyGa at its relaxed geometry.

Structure (POSCAR):
```
PmDyGa
1.0
-0.951 2.844 3.317
0.098 -6.026 5.194
6.683 4.033 -1.541
Pm Dy Ga
3 3 3
Cartesian
2.248 0.621 3.126 Pm
3.524 3.835 0.736 Pm
-0.417 -2.184 4.767 Pm
4.977 -1.463 2.681 Dy
1.877 -4.953 4.784 Dy
0.026 -1.604 1.382 Dy
4.488 0.680 0.704 Ga
2.293 -2.673 2.949 Ga
-0.476 1.422 1.659 Ga
```

Its magnetization is 0.00 μB/atom. The calculation puts the theoretical density at 7.66 g/cm³. As for the raw total energy: -4.53 eV per atom. Its formation energy is -405 meV per atom. For the polymorph energy (0 for the lowest one), the calculation gives 8 meV per atom.